This record from the Alexandria database describes a relaxed structure of Cs2PrHBr6. The functional is GGA-PBE.

Lattice parameters (Å, degrees): 7.898 7.904 7.907 110.64 110.71 107.05
Fractional coordinates of all 10 atoms:
Cs  0.250  0.250  0.000
Cs  0.750  0.750  0.000
Pr  0.000  0.500  0.500
H  0.500  0.000  0.500
Br  0.226  0.726  0.953
Br  0.227  0.274  0.500
Br  0.318  0.819  0.500
Br  0.682  0.181  0.500
Br  0.773  0.726  0.500
Br  0.774  0.274  0.047

Properties
- E_tot: -34.73 eV for the cell shown
- Crystal system: triclinic
- Total moment: 0.00 μB/atom
- Density: 3.88 g/cm3
- D(E_F): 0.00 states/eV/f.u.


This record from the Alexandria database describes a relaxed structure of K2In2SbO6. The functional is GGA-PBE.

Lattice parameters (Å, degrees): 5.755 5.755 6.679 98.55 98.55 119.59
Fractional coordinates of all 11 atoms:
K  0.170  0.830  0.000
K  0.830  0.170  0.000
In  0.335  0.665  0.500
In  0.665  0.335  0.500
Sb  0.000  0.000  0.500
O  0.055  0.377  0.674
O  0.256  0.256  0.327
O  0.377  0.055  0.674
O  0.623  0.945  0.326
O  0.744  0.744  0.673
O  0.945  0.623  0.326

Properties
- E_tot: -58.19 eV for the cell shown
- Crystal system: monoclinic
- Total moment: 0.00 μB/atom
- Density: 4.75 g/cm3
- D(E_F): 2.50 states/eV/f.u.


This record from the Alexandria database describes a relaxed structure of LaTaSCl2. The functional is GGA-PBE.

Lattice parameters (Å, degrees): 5.459 5.459 5.666 90.00 90.00 90.00
Fractional coordinates of all 5 atoms:
La  0.000  0.000  0.000
Ta  0.500  0.500  0.500
S  0.000  0.000  0.500
Cl  0.000  0.500  0.000
Cl  0.500  0.000  0.000

Properties
- ΔE to the lowest computed polymorph: 618 meV/atom
- Crystal system: tetragonal
- Total moment: 0.80 μB/atom
- Density: 4.16 g/cm3
- D(E_F): 4.51 states/eV/f.u.


This record from the Alexandria database describes a relaxed structure of LiMo2Pb. The functional is GGA-PBE.

Lattice parameters (Å, degrees): 3.330 3.330 6.262 90.00 90.00 90.00
Fractional coordinates of all 4 atoms:
Li  0.000  0.000  0.000
Mo  0.000  0.000  0.554
Mo  0.500  0.500  0.748
Pb  0.500  0.500  0.242

Properties
- Crystal system: tetragonal
- DFT formation energy: 239 meV/atom
- Total moment: 0.00 μB/atom
- Density: 9.71 g/cm3
- D(E_F): 2.25 states/eV/f.u.


This record from the Alexandria database describes a relaxed structure of Li3Ho2ScSe6. The functional is GGA-PBE.

Lattice parameters (Å, degrees): 6.916 6.916 6.865 99.66 99.66 120.01
Fractional coordinates of all 12 atoms:
Li  0.000  0.000  0.000
Li  0.334  0.666  0.000
Li  0.666  0.334  0.000
Ho  0.167  0.833  0.500
Ho  0.833  0.167  0.500
Sc  0.500  0.500  0.500
Se  0.094  0.417  0.250
Se  0.261  0.261  0.748
Se  0.417  0.094  0.250
Se  0.583  0.906  0.750
Se  0.739  0.739  0.252
Se  0.906  0.583  0.750

Properties
- E_tot: -62.05 eV for the cell shown
- Crystal system: monoclinic
- Total moment: 0.00 μB/atom
- Density: 5.39 g/cm3
- D(E_F): 0.00 states/eV/f.u.


This record from the Alexandria database describes a relaxed structure of BaPuTe3. The functional is GGA-PBE.

Lattice parameters (Å, degrees): 4.491 5.784 7.509 90.00 90.00 90.00
Fractional coordinates of all 5 atoms:
Ba  0.000  0.000  0.000
Pu  0.000  0.500  0.500
Te  0.000  0.000  0.500
Te  0.500  0.500  0.223
Te  0.500  0.500  0.777

Properties
- ΔE to the lowest computed polymorph: 33 meV/atom
- Crystal system: orthorhombic
- Total moment: 0.85 μB/atom
- Density: 6.50 g/cm3
- D(E_F): 11.69 states/eV/f.u.